{
  "formula": "LaMn3Sb",
  "functional": "PBE-GGA",
  "state": "optimized geometry",
  "cell": [[-3.0587, 3.9020, 0.4098], [-3.7682, -3.0663, 1.0714], [1.0929, 0.3483, 4.8409]],
  "species": ["Sb", "Mn", "Mn", "Mn", "La"],
  "frac_coords": [[0.0000, 0.0000, 0.0000], [0.0000, 0.5000, 0.0000], [0.0000, 0.0000, 0.5000], [0.5000, 0.0000, 0.0000], [0.5000, 0.5000, 0.5000]],
  "e_tot_ev_per_atom": -6.735,
  "magnetic_moment_mub_per_cell": 9.314,
  "crystal_system": "cubic",
  "e_form_raw_ev_per_fu": 2.88
}


{
  "formula": "LaMnSb2",
  "functional": "PBE-GGA",
  "state": "optimized geometry",
  "cell": [[5.0630, 0.0000, 0.0000], [0.0000, 4.3753, 0.0111], [0.0000, -0.0137, 5.0649]],
  "species": ["La", "Mn", "Sb", "Sb"],
  "frac_coords": [[0.0000, 0.5639, 0.3752], [0.5000, 0.8121, 0.8747], [0.0000, 0.0622, 0.8752], [0.5000, 0.0618, 0.3749]],
  "e_tot_ev_per_atom": -5.948,
  "magnetic_moment_mub_per_cell": 4.072,
  "crystal_system": "tetragonal",
  "e_form_raw_ev_per_fu": -1.45
}


{
  "formula": "LaMnSb",
  "functional": "PBE-GGA",
  "state": "optimized geometry",
  "cell": [[5.1888, 0.0000, 0.0000], [2.5944, 4.4936, 0.0000], [2.5944, 1.4979, 4.2366]],
  "species": ["La", "Mn", "Sb"],
  "frac_coords": [[0.2500, 0.2500, 0.2500], [0.0000, 0.0000, 0.0000], [0.5000, 0.5000, 0.5000]],
  "e_tot_ev_per_atom": -5.851,
  "magnetic_moment_mub_per_cell": 4.656,
  "crystal_system": "cubic",
  "e_form_raw_ev_per_fu": 0.67
}


{
  "formula": "La4Mn3Sb8",
  "functional": "PBE-GGA",
  "state": "optimized geometry",
  "cell": [[-10.5120, 3.7947, 2.6335], [-8.5318, -3.8440, 6.6535], [11.1913, 2.2653, -1.2083]],
  "species": ["Sb", "Sb", "Sb", "Sb", "Sb", "Sb", "Sb", "Sb", "Mn", "Mn", "Mn", "La", "La", "La", "La"],
  "frac_coords": [[0.2501, 0.2501, 0.0000], [0.7499, 0.7499, 0.0000], [0.2500, 0.7500, 0.5000], [0.7500, 0.2500, 0.5000], [0.3249, 0.8223, 0.0000], [0.8223, 0.3249, 0.0000], [0.1777, 0.1777, 0.5026], [0.6751, 0.6751, 0.4974], [0.0000, 0.0000, 0.0000], [0.5000, 0.0000, 0.5000], [0.0000, 0.5000, 0.5000], [0.6206, 0.1185, 0.0000], [0.1185, 0.6206, 0.0000], [0.8815, 0.8815, 0.5021], [0.3794, 0.3794, 0.4979]],
  "e_tot_ev_per_atom": -6.043,
  "polymorph_energy_mev_per_atom": 0,
  "magnetic_moment_mub_per_cell": 4.467,
  "crystal_system": "tetragonal",
  "e_form_raw_ev_per_fu": -10.44
}


{
  "formula": "LaMnSb2",
  "functional": "PBE-GGA",
  "state": "optimized geometry",
  "cell": [[-0.5898, -1.2059, -5.0131], [-3.3102, -3.3952, 2.1091], [-0.9725, 4.9652, 1.1548]],
  "species": ["La", "Mn", "Sb", "Sb"],
  "frac_coords": [[0.2500, 0.7500, 0.5000], [0.7500, 0.2500, 0.5000], [0.0000, 0.0000, 0.0000], [0.5000, 0.5000, 0.0000]],
  "e_tot_ev_per_atom": -5.840,
  "magnetic_moment_mub_per_cell": 3.976,
  "crystal_system": "tetragonal",
  "e_form_raw_ev_per_fu": -1.02
}


{
  "formula": "La4MnSb",
  "functional": "PBE-GGA",
  "state": "optimized geometry",
  "cell": [[0.0000, 4.5571, 4.5571], [4.5571, 0.0000, 4.5571], [4.5571, 4.5571, 0.0000]],
  "species": ["La", "La", "La", "La", "Mn", "Sb"],
  "frac_coords": [[0.8756, 0.3748, 0.3748], [0.3748, 0.3748, 0.8756], [0.3748, 0.8756, 0.3748], [0.3748, 0.3748, 0.3748], [0.7500, 0.7500, 0.7500], [0.0000, 0.0000, 0.0000]],
  "e_tot_ev_per_atom": -5.191,
  "magnetic_moment_mub_per_cell": 3.958,
  "crystal_system": "cubic",
  "e_form_raw_ev_per_fu": 1.85
}


{
  "formula": "La4Mn3Sb8",
  "functional": "PBE-GGA",
  "state": "optimized geometry",
  "cell": [[4.4295, 0.0000, 0.0000], [0.0000, 4.4295, 0.0000], [0.0000, 0.0000, 21.1521]],
  "species": ["La", "La", "La", "La", "Mn", "Mn", "Mn", "Sb", "Sb", "Sb", "Sb", "Sb", "Sb", "Sb", "Sb"],
  "frac_coords": [[0.5000, 0.0000, 0.3635], [0.5000, 0.0000, 0.8783], [0.0000, 0.5000, 0.1217], [0.0000, 0.5000, 0.6365], [0.5000, 0.5000, 0.5000], [0.0000, 0.0000, 0.0000], [0.0000, 0.0000, 0.5000], [0.5000, 0.5000, 0.2431], [0.5000, 0.5000, 0.7569], [0.0000, 0.0000, 0.2427], [0.0000, 0.0000, 0.7573], [0.5000, 0.0000, 0.0677], [0.5000, 0.0000, 0.5807], [0.0000, 0.5000, 0.4193], [0.0000, 0.5000, 0.9323]],
  "e_tot_ev_per_atom": -6.007,
  "polymorph_energy_mev_per_atom": 36,
  "magnetic_moment_mub_per_cell": 12.456,
  "crystal_system": "tetragonal",
  "e_form_raw_ev_per_fu": -9.90
}


{
  "formula": "La2MnSb2",
  "functional": "PBE-GGA",
  "state": "optimized geometry",
  "cell": [[7.0591, 0.0000, 0.0000], [0.0000, 7.0591, 0.0000], [0.0000, 0.0000, 5.1730]],
  "species": ["Sb", "Sb", "Sb", "Sb", "Mn", "Mn", "La", "La", "La", "La"],
  "frac_coords": [[0.3500, 0.8500, 0.0000], [0.8500, 0.6500, 0.0000], [0.6500, 0.1500, 0.0000], [0.1500, 0.3500, 0.0000], [0.0000, 0.0000, 0.0000], [0.5000, 0.5000, 0.0000], [0.1725, 0.6725, 0.5000], [0.6725, 0.8275, 0.5000], [0.8275, 0.3275, 0.5000], [0.3275, 0.1725, 0.5000]],
  "e_tot_ev_per_atom": -5.879,
  "magnetic_moment_mub_per_cell": 0.204,
  "crystal_system": "tetragonal",
  "e_form_raw_ev_per_fu": -2.12
}


{
  "formula": "LaMnSb2",
  "functional": "PBE-GGA",
  "state": "optimized geometry",
  "cell": [[-0.6288, -0.3600, 3.7282], [-2.1363, -2.6319, -1.7129], [5.7287, -4.9666, 0.4867]],
  "species": ["La", "Mn", "Sb", "Sb"],
  "frac_coords": [[0.5000, 0.5000, 0.2500], [0.5000, 0.5000, 0.7500], [0.0000, 0.0000, 0.9617], [0.0000, 0.0000, 0.5383]],
  "e_tot_ev_per_atom": -5.908,
  "magnetic_moment_mub_per_cell": 3.686,
  "crystal_system": "orthorhombic",
  "e_form_raw_ev_per_fu": -1.29
}


{
  "formula": "LaMnSb2",
  "functional": "PBE-GGA",
  "state": "optimized geometry",
  "cell": [[-3.9490, 2.0698, -3.1415], [-3.2861, 0.3748, 4.3368], [4.7523, 2.4115, -1.1608]],
  "species": ["La", "Mn", "Sb", "Sb"],
  "frac_coords": [[0.7500, 0.2500, 0.5000], [0.2500, 0.7500, 0.5000], [0.0465, 0.0465, 0.0000], [0.4535, 0.4535, 0.0000]],
  "e_tot_ev_per_atom": -5.963,
  "magnetic_moment_mub_per_cell": 3.592,
  "crystal_system": "orthorhombic",
  "e_form_raw_ev_per_fu": -1.51
}


{
  "formula": "LaMnSb2",
  "functional": "PBE-GGA",
  "state": "optimized geometry",
  "cell": [[-2.2203, 4.1350, 0.4698], [-4.3391, 0.5591, -1.7630], [-4.3136, -0.1154, 4.2782]],
  "species": ["La", "Mn", "Sb", "Sb"],
  "frac_coords": [[0.2500, 0.2500, 0.2500], [0.7500, 0.7500, 0.7500], [0.0261, 0.0261, 0.9217], [0.4739, 0.4739, 0.5783]],
  "e_tot_ev_per_atom": -6.015,
  "magnetic_moment_mub_per_cell": 3.573,
  "crystal_system": "trigonal",
  "e_form_raw_ev_per_fu": -1.72
}


{
  "formula": "LaMnSb2",
  "functional": "PBE-GGA",
  "state": "optimized geometry",
  "cell": [[-5.1667, 5.0842, -1.0973], [-3.2800, 2.7359, -5.9585], [2.1564, -5.8611, 3.8400]],
  "species": ["La", "Mn", "Sb", "Sb"],
  "frac_coords": [[0.4569, 0.4569, 0.0000], [0.2112, 0.7112, 0.5000], [0.0637, 0.0637, 0.0000], [0.7683, 0.2683, 0.5000]],
  "e_tot_ev_per_atom": -5.899,
  "magnetic_moment_mub_per_cell": 3.750,
  "crystal_system": "orthorhombic",
  "e_form_raw_ev_per_fu": -1.26
}